Entry 1:
Below is crystalline Cd6Ag4Sn at its relaxed geometry, with properties calculated at the PBE-GGA level.

Space group: I-42m (121)
Formation enthalpy at 0 K in eV per atom: 0.09
DOS at the Fermi energy in states/eV/f.u.: 5.0
Uncorrected energy in eV per atom: -1.809

abc: 7.1895 7.1895 7.1895
angles: 92.45 118.60 118.60
Fractional positions:
Cd1 0.0000 0.8817 0.5699
Cd2 0.0000 0.5699 0.8817
Cd3 0.6882 0.1183 0.1183
Cd4 0.5000 0.0000 0.5000
Cd5 0.3118 0.4301 0.4301
Cd6 0.5000 0.5000 0.0000
Ag1 0.0000 0.2623 0.6168
Ag2 0.6455 0.3832 0.3832
Ag3 0.0000 0.6168 0.2623
Ag4 0.3545 0.7377 0.7377
Sn1 0.0000 0.0000 0.0000


Entry 2:
Below is crystalline BaScMo2 at its relaxed geometry, with properties calculated at the PBE-GGA level.

Space group: Imm2 (44)
Formation enthalpy at 0 K in eV per atom: 0.62
DOS at the Fermi energy in states/eV/f.u.: 4.1
Distance to the lowest polymorph of the same formula in eV/atom: 0.2304
Uncorrected energy in eV per atom: -6.863

abc: 7.2505 7.2505 7.2505
angles: 152.33 140.76 48.69
Fractional positions:
Ba1 0.2086 0.7086 0.5000
Mo1 0.9747 0.9747 0.0000
Mo2 0.8487 0.3487 0.5000
Sc1 0.4680 0.4680 0.0000


Question: DOS at the Fermi energy of number 2 (BaScMo2)?
Answer: 4.1 states/eV/f.u.


Question: Which formula does entry 1 have?
Answer: Cd6Ag4Sn